A relaxed Co5NiS8 crystal. Source: Alexandria via LeMat-Bulk, functional GGA-PBE.

Computed properties:
- ΔE_f (raw): -0.444 eV per atom
- Space-group type: F-43m (216)
- Calculated volume: 14.4 Å³/atom

abc: 6.5868 6.5868 6.5868
angles: 60.00 60.00 60.00
With the nearest neighbours (Å) after each atom.
Atoms (fractional coordinates):
Co 0.0000 0.0000 0.0000  4 S 2.13
Co 0.1251 0.6250 0.6250  6 S 2.24-2.26
Co 0.6250 0.1251 0.6250  6 S 2.24-2.26
Co 0.6250 0.6250 0.1251  6 S 2.24-2.26
Co 0.6250 0.6250 0.6250  6 S 2.24-2.26
Ni 0.2500 0.2500 0.2500  4 S 2.17
S 0.3844 0.3844 0.3844  1 Ni 2.17, 3 Co 2.24
S 0.3844 0.3844 0.8469  1 Ni 2.17, 3 Co 2.24
S 0.3844 0.8469 0.3844  1 Ni 2.17, 3 Co 2.24
S 0.3965 0.8678 0.8678  4 Co 2.13-2.26
S 0.8469 0.3844 0.3844  1 Ni 2.17, 3 Co 2.24
S 0.8678 0.3965 0.8678  4 Co 2.13-2.26
S 0.8678 0.8678 0.3965  4 Co 2.13-2.26
S 0.8678 0.8678 0.8678  4 Co 2.13-2.26


A relaxed Ge2BiSb crystal. Source: Alexandria via LeMat-Bulk, functional GGA-PBE.

Computed properties:
- ΔE_f (raw): 0.293 eV per atom
- Space-group type: Fm-3m (225)
- Calculated volume: 24.2 Å³/atom

abc: 5.1568 5.1568 5.1568
angles: 60.00 60.00 60.00
With the nearest neighbours (Å) after each atom.
Atoms (fractional coordinates):
Ge 0.2500 0.2500 0.2500  4 Sb 3.16, 4 Bi 3.16
Ge 0.7500 0.7500 0.7500  4 Sb 3.16, 4 Bi 3.16
Bi 0.0000 0.0000 0.0000  8 Ge 3.16
Sb 0.5000 0.5000 0.5000  8 Ge 3.16


A relaxed RbCoTeCl6 crystal. Source: Alexandria via LeMat-Bulk, functional GGA-PBE.

Computed properties:
- ΔE_f (raw): -0.793 eV per atom
- Space-group type: P1 (1)
- Calculated volume: 32.4 Å³/atom

abc: 6.7384 6.7591 7.1563
angles: 90.96 91.16 116.46
With the nearest neighbours (Å) after each atom.
Atoms (fractional coordinates):
Rb 0.0000 0.0000 0.0000  6 Cl 3.31-3.42
Co 0.3260 0.6778 0.5006  6 Cl 2.32-2.59
Te 0.6645 0.3365 0.5003  4 Cl 2.58-2.59
Cl 0.0133 0.3848 0.6907  1 Te 2.58, 1 Co 2.59
Cl 0.0397 0.6504 0.2992  1 Co 2.32
Cl 0.3531 0.9623 0.7039  1 Co 2.33
Cl 0.3641 0.3861 0.3029  1 Co 2.52, 1 Te 2.59
Cl 0.6145 0.6363 0.6966  1 Co 2.49, 1 Te 2.59
Cl 0.6174 0.9876 0.3119  1 Co 2.57, 1 Te 2.59


A relaxed ScInAu2 crystal. Source: Alexandria via LeMat-Bulk, functional GGA-PBE.

Computed properties:
- E_form: -0.27 eV/atom
- Space-group type: I-42d (122)
- Calculated volume: 22.4 Å³/atom

abc: 6.2054 6.2054 6.2054
angles: 104.55 104.55 119.85
With the nearest neighbours (Å) after each atom.
Atoms (fractional coordinates):
Sc 0.0000 0.0000 0.0000  4 Au 2.76
Sc 0.7500 0.2500 0.5000  4 Au 2.76
In 0.2500 0.7500 0.5000  4 Au 2.83, 2 Sc 3.11
In 0.5000 0.5000 0.0000  4 Au 2.83, 2 Sc 3.11
Au 0.1188 0.6250 0.9938  2 Sc 2.76, 2 In 2.83
Au 0.3750 0.3688 0.4938  2 Sc 2.76, 2 In 2.83
Au 0.6312 0.1250 0.0062  2 Sc 2.76, 2 In 2.83
Au 0.8750 0.8812 0.5062  2 Sc 2.76, 2 In 2.83


A relaxed NdNi5As2 crystal. Source: Alexandria via LeMat-Bulk, functional GGA-PBE.

Computed properties:
- E_form: -0.48 eV/atom
- Space-group type: Immm (71)
- Calculated volume: 14.6 Å³/atom

abc: 5.9879 5.9879 5.9879
angles: 142.57 112.84 79.50
With the nearest neighbours (Å) after each atom.
Atoms (fractional coordinates):
Nd 0.0000 0.0000 0.0000  4 As 3.02, 10 Ni 3.13-3.31
Ni 0.1723 0.3574 0.8149  3 As 2.32-2.47, 1 Ni 2.45
Ni 0.4576 0.6427 0.8149  3 As 2.32-2.47, 1 Ni 2.45
Ni 0.5000 0.0000 0.5000  2 As 2.27
Ni 0.5424 0.3574 0.1851  3 As 2.32-2.47, 1 Ni 2.45
Ni 0.8277 0.6427 0.1851  3 As 2.32-2.47, 1 Ni 2.45
As 0.2533 0.7533 0.5000  7 Ni 2.27-2.47
As 0.7467 0.2467 0.5000  7 Ni 2.27-2.47


A relaxed ZnTeIr2 crystal. Source: Alexandria via LeMat-Bulk, functional GGA-PBE.

Computed properties:
- ΔE_f (raw): 0.206 eV per atom
- Space-group type: C2/m (12)
- Calculated volume: 16.6 Å³/atom

abc: 4.5690 4.5690 5.0842
angles: 100.58 100.58 39.55
With the nearest neighbours (Å) after each atom.
Atoms (fractional coordinates):
Zn 0.0000 0.0000 0.0000  6 Ir 2.69-2.72, 4 Te 2.98
Te 0.5000 0.5000 0.5000  6 Ir 2.72-2.78, 4 Zn 2.98
Ir 0.2524 0.2524 0.7608  3 Zn 2.69-2.72, 3 Te 2.72-2.78, 2 Ir 2.89
Ir 0.7476 0.7476 0.2392  3 Zn 2.69-2.72, 3 Te 2.72-2.78, 2 Ir 2.89


A relaxed LiNd2Ir2 crystal. Source: Alexandria via LeMat-Bulk, functional GGA-PBE.

Computed properties:
- E_form: -0.54 eV/atom
- Space-group type: Immm (71)
- Calculated volume: 21.6 Å³/atom

abc: 5.5898 5.5898 5.5898
angles: 134.63 115.62 82.24
With the nearest neighbours (Å) after each atom.
Atoms (fractional coordinates):
Li 0.0000 0.0000 0.0000  4 Ir 2.70
Nd 0.2943 0.7943 0.5000  6 Ir 2.96-3.08, 2 Li 3.28
Nd 0.7057 0.2057 0.5000  6 Ir 2.96-3.08, 2 Li 3.28
Ir 0.2718 0.5000 0.7718  2 Li 2.70, 1 Ir 2.72, 2 Nd 2.96
Ir 0.7282 0.5000 0.2282  2 Li 2.70, 1 Ir 2.72, 2 Nd 2.96


A relaxed Te2IrI crystal. Source: Alexandria via LeMat-Bulk, functional GGA-PBE.

Computed properties:
- ΔE_f (raw): 0.888 eV per atom
- Space-group type: P4/mmm (123)
- Calculated volume: 23.9 Å³/atom

abc: 5.3711 5.3711 3.3086
angles: 90.00 90.00 90.00
With the nearest neighbours (Å) after each atom.
Atoms (fractional coordinates):
Te 0.0000 0.5000 0.0000  4 Ir 3.15, 4 I 3.15, 2 Te 3.31
Te 0.5000 0.0000 0.0000  4 Ir 3.15, 4 I 3.15, 2 Te 3.31
Ir 0.0000 0.0000 0.5000  8 Te 3.15, 2 Ir 3.31
I 0.5000 0.5000 0.5000  8 Te 3.15, 2 I 3.31